Record 1
## Sm6Er2Cd (PBE)

Data for an optimized crystal structure of Sm6Er2Cd.

Unit cell a=5.872 b=11.804 c=11.804 alpha=47.70 beta=74.61 gamma=74.61
Fractional coordinates of all 18 atoms:
Sm  0.389  0.719  0.569
Sm  0.111  0.431  0.281
Sm  0.611  0.281  0.431
Sm  0.889  0.569  0.719
Sm  0.877  0.924  0.336
Sm  0.623  0.664  0.076
Sm  0.123  0.076  0.664
Sm  0.377  0.336  0.924
Sm  0.054  0.821  0.073
Sm  0.446  0.927  0.179
Sm  0.946  0.179  0.927
Sm  0.554  0.073  0.821
Er  0.222  0.655  0.899
Er  0.278  0.101  0.345
Er  0.778  0.345  0.101
Er  0.722  0.899  0.655
Cd  0.250  0.559  0.441
Cd  0.750  0.441  0.559

Computed properties:
total energy	-75.469	eV/cell
SG	No. 15
DFT formation energy	0.07	eV per atom

***

Record 2
## Sm2ErCd6 (PBE)

Data for an optimized crystal structure of Sm2ErCd6.

Unit cell a=3.429 b=8.694 c=8.694 alpha=120.00 beta=90.00 gamma=90.00
Fractional coordinates of all 9 atoms:
Sm  0.000  0.333  0.667
Sm  0.000  0.667  0.333
Er  0.000  0.000  0.000
Cd  0.500  0.331  0.331
Cd  0.500  0.669  0.669
Cd  0.500  0.000  0.669
Cd  0.500  0.669  0.000
Cd  0.500  0.331  0.000
Cd  0.500  0.000  0.331

Computed properties:
total energy	-22.395	eV/cell
SG	No. 191
DFT formation energy	-0.32	eV per atom